w.
Density functional theory data (PBE) for crystalline Tl2WC at its relaxed geometry.

Properties
Its crystal system is tetragonal.

Unit cell a=9.6285 b=9.6285 c=7.1049 alpha=47.34 beta=47.34 gamma=90.00
Site moments in Bohr magnetons follow the coordinates.
Fractional positions:
Tl1 0.2754 0.6250 0.2500  0.00
Tl2 0.8750 0.7246 0.7500  0.01
Tl3 0.4746 0.1250 0.2500  0.00
Tl4 0.3750 0.5254 0.7500  0.01
W1 0.0000 0.0000 0.0000  1.04
W2 0.7500 0.2500 0.5000  1.04
C1 0.2500 0.7500 0.5000  -0.03
C2 0.5000 0.5000 0.0000  -0.04



x.
Density functional theory data (PBE) for crystalline Tl2WC at its relaxed geometry.

Properties
Its crystal system is cubic.

Unit cell a=4.7964 b=4.7964 c=4.7964 alpha=60.00 beta=60.00 gamma=60.00
Site moments in Bohr magnetons follow the coordinates.
Fractional positions:
Tl1 0.2500 0.2500 0.2500  0.00
Tl2 0.7500 0.7500 0.7500  0.00
C1 0.0000 0.0000 0.0000  -0.13
W1 0.5000 0.5000 0.5000  1.55



Most stable: w. Least stable: x.



w.
Density functional theory data (PBE) for crystalline TlW2C at its relaxed geometry.

Properties
Its crystal system is cubic.

Unit cell a=4.4101 b=4.4101 c=4.4101 alpha=60.00 beta=60.00 gamma=60.00
Fractional positions:
C1 0.0000 0.0000 0.0000
W1 0.2500 0.2500 0.2500
W2 0.7500 0.7500 0.7500
Tl1 0.5000 0.5000 0.5000



x.
Density functional theory data (PBE) for crystalline TlW2C at its relaxed geometry.

Properties
Its crystal system is tetragonal.

Unit cell a=5.1752 b=5.1752 c=6.9505 alpha=68.14 beta=68.14 gamma=90.00
Fractional positions:
W1 0.8750 0.7159 0.7500
W2 0.2841 0.6250 0.2500
W3 0.3750 0.5341 0.7500
W4 0.4659 0.1250 0.2500
C1 0.2500 0.7500 0.5000
C2 0.5000 0.5000 0.0000
Tl1 0.7500 0.2500 0.5000
Tl2 0.0000 0.0000 0.0000



Most stable: x. Least stable: w.



w.
Density functional theory data (PBE) for crystalline YTlC2 at its relaxed geometry.

Properties
Its crystal system is tetragonal.

Unit cell a=5.0476 b=5.0476 c=7.1052 alpha=69.19 beta=69.19 gamma=90.00
Site moments in Bohr magnetons follow the coordinates.
Fractional positions:
C1 0.3750 0.3619 0.7500  0.45
C2 0.8750 0.8881 0.7500  0.44
C3 0.6381 0.1250 0.2500  0.42
C4 0.1119 0.6250 0.2500  0.42
Tl1 0.7500 0.2500 0.5000  0.05
Tl2 0.0000 0.0000 0.0000  0.05
Y1 0.2500 0.7500 0.5000  0.23
Y2 0.5000 0.5000 0.0000  0.23



x.
Density functional theory data (PBE) for crystalline YTlC2 at its relaxed geometry.

Properties
Its crystal system is cubic.

Unit cell a=4.4124 b=4.4124 c=4.4124 alpha=60.00 beta=60.00 gamma=60.00
Fractional positions:
C1 0.7500 0.7500 0.7500
C2 0.2500 0.2500 0.2500
Tl1 0.5000 0.5000 0.5000
Y1 0.0000 0.0000 0.0000



Most stable: w. Least stable: x.



w.
Density functional theory data (PBE) for crystalline Tl3ZnC at its relaxed geometry.

Properties
Its crystal system is cubic.

Unit cell a=5.0742 b=5.0742 c=5.0742 alpha=90.00 beta=90.00 gamma=90.00
Fractional positions:
Zn1 0.5000 0.5000 0.5000
C1 0.0000 0.0000 0.0000
Tl1 0.0000 0.0000 0.5000
Tl2 0.0000 0.5000 0.0000
Tl3 0.5000 0.0000 0.0000



x.
Density functional theory data (PBE) for crystalline Tl3ZnC at its relaxed geometry.

Properties
Its crystal system is cubic.

Unit cell a=5.3424 b=5.3424 c=5.3424 alpha=90.00 beta=90.00 gamma=90.00
Site moments in Bohr magnetons follow the coordinates.
Fractional positions:
Tl1 0.5000 0.0000 0.0000  -0.01
Tl2 0.0000 0.5000 0.0000  0.00
Tl3 0.0000 0.0000 0.5000  0.01
Zn1 0.0000 0.0000 0.0000  0.01
C1 0.5000 0.5000 0.5000  0.96



Most stable: w. Least stable: x.



w.
Density functional theory data (PBE) for crystalline TlZn3C at its relaxed geometry.

Properties
Its crystal system is cubic.

Unit cell a=4.3552 b=4.3552 c=4.3552 alpha=90.00 beta=90.00 gamma=90.00
Fractional positions:
Zn1 0.0000 0.0000 0.5000
Zn2 0.5000 0.0000 0.0000
Zn3 0.0000 0.5000 0.0000
C1 0.0000 0.0000 0.0000
Tl1 0.5000 0.5000 0.5000



x.
Density functional theory data (PBE) for crystalline TlZn3C at its relaxed geometry.

Properties
Its crystal system is cubic.

Unit cell a=5.2213 b=5.2213 c=5.2213 alpha=90.00 beta=90.00 gamma=90.00
Site moments in Bohr magnetons follow the coordinates.
Fractional positions:
Zn1 0.5000 0.0000 0.0000  0.04
Zn2 0.0000 0.5000 0.0000  0.04
Zn3 0.0000 0.0000 0.5000  0.05
Tl1 0.0000 0.0000 0.0000  0.03
C1 0.5000 0.5000 0.5000  1.06



Most stable: w. Least stable: x.



w.
Density functional theory data (PBE) for crystalline Tl2ZnC at its relaxed geometry.

Properties
Its crystal system is cubic.

Unit cell a=4.8816 b=4.8816 c=4.8816 alpha=60.00 beta=60.00 gamma=60.00
Site moments in Bohr magnetons follow the coordinates.
Fractional positions:
Tl1 0.7500 0.7500 0.7500  0.01
Tl2 0.2500 0.2500 0.2500  0.01
Zn1 0.5000 0.5000 0.5000  0.02
C1 0.0000 0.0000 0.0000  0.09



x.
Density functional theory data (PBE) for crystalline Tl2ZnC at its relaxed geometry.

Properties
Its crystal system is tetragonal.

Unit cell a=6.3219 b=6.3219 c=6.6313 alpha=61.53 beta=61.53 gamma=90.00
Fractional positions:
Tl1 0.8750 0.8009 0.7500
Tl2 0.3750 0.4491 0.7500
Tl3 0.5509 0.1250 0.2500
Tl4 0.1991 0.6250 0.2500
Zn1 0.0000 0.0000 0.0000
Zn2 0.7500 0.2500 0.5000
C1 0.5000 0.5000 0.0000
C2 0.2500 0.7500 0.5000



Most stable: x. Least stable: w.